SrEu2Dy: relaxed, PBE.

## Properties
- Energy of formation: 0.155 eV per atom
- Magnetization: 14.38 μB per cell
- Crystal system: tetragonal
- Relative energy among the computed polymorphs: 62 meV/atom
- Symmetry: P4/mmm (123)
- Raw total energy: -26.21 eV/cell

Lattice parameters (Å, degrees): 6.1691 6.1691 4.2758 90.00 90.00 90.00
Closest atoms and distances in Å follow each position.
Fractional positions:
Sr 0.0000 0.0000 0.0000  8 Eu 3.75
Eu 0.0000 0.5000 0.5000  4 Dy 3.75, 4 Sr 3.75
Eu 0.5000 0.0000 0.5000  4 Dy 3.75, 4 Sr 3.75
Dy 0.5000 0.5000 0.0000  8 Eu 3.75